A.
Entry from Alexandria via LeMat-Bulk: a geometry-optimized SbIrW structure (PBE-GGA).

Cell and atoms, written as CIF:
```
data_SbIrW
_chemical_formula_sum 'Sb1 Ir1 W1'
_cell_length_a 3.0056
_cell_length_b 3.0056
_cell_length_c 6.7470
_cell_angle_alpha 90.00
_cell_angle_beta 90.00
_cell_angle_gamma 120.00
_space_group_name_H-M_alt 'P 3 m 1'
_space_group_IT_number 156
loop_
_space_group_symop_operation_xyz
'x,y,z'
'-y,x-y,z'
'-x+y,-x,z'
'-y,-x,z'
'-x+y,y,z'
'x,x-y,z'
loop_
_atom_site_label
_atom_site_type_symbol
_atom_site_fract_x
_atom_site_fract_y
_atom_site_fract_z
Sb1 Sb 0.0000 0.0000 0.0000
Ir1 Ir 0.3333 0.6667 0.6549
W1 W 0.6667 0.3333 0.3531
```

Output
**Theoretical density**: 15.66 Mg/m³

=====

B.
Entry from Alexandria via LeMat-Bulk: a geometry-optimized SbIrW structure (PBE-GGA).

Cell and atoms, written as CIF:
```
data_SbIrW
_chemical_formula_sum 'Sb4 Ir4 W4'
_cell_length_a 6.187
_cell_length_b 6.187
_cell_length_c 6.187
_cell_angle_alpha 90.00
_cell_angle_beta 90.00
_cell_angle_gamma 90.00
_space_group_name_H-M_alt 'F -4 3 m'
_space_group_IT_number 216
_space_group_name_Hall 'F -4 2 3'
loop_
_atom_site_label
_atom_site_type_symbol
_atom_site_fract_x
_atom_site_fract_y
_atom_site_fract_z
Sb1 Sb 0.000 0.000 0.000
Ir1 Ir 0.250 0.250 0.750
W1 W 0.000 0.000 0.500
```

Output
**Theoretical density**: 13.96 Mg/m³

=====

If we sort the structures by their calculated energies, the order from most to least stable is A, B.

=====

A.
Entry from Alexandria via LeMat-Bulk: a geometry-optimized SbIrW structure (PBE-GGA).

Cell and atoms, written as CIF:
```
data_SbIrW
_chemical_formula_sum 'Sb2 Ir2 W2'
_cell_length_a 2.935
_cell_length_b 4.006
_cell_length_c 8.875
_cell_angle_alpha 90.00
_cell_angle_beta 90.00
_cell_angle_gamma 90.00
_space_group_name_H-M_alt 'I m m 2'
_space_group_IT_number 44
loop_
_space_group_symop_operation_xyz
'x,y,z'
'-x,-y,z'
'-x,y,z'
'x,-y,z'
'x+1/2,y+1/2,z+1/2'
'-x+1/2,-y+1/2,z+1/2'
'-x+1/2,y+1/2,z+1/2'
'x+1/2,-y+1/2,z+1/2'
loop_
_atom_site_label
_atom_site_type_symbol
_atom_site_fract_x
_atom_site_fract_y
_atom_site_fract_z
Sb1 Sb 0.000 0.000 0.000
Ir1 Ir 0.000 0.000 0.323
W1 W 0.000 0.000 0.681
```

Output
**Theoretical density**: 15.84 Mg/m³

=====

B.
Entry from Alexandria via LeMat-Bulk: a geometry-optimized SbIrW structure (PBE-GGA).

Cell and atoms, written as CIF:
```
data_SbIrW
_chemical_formula_sum 'Sb4 Ir4 W4'
_cell_length_a 6.236
_cell_length_b 6.236
_cell_length_c 6.236
_cell_angle_alpha 90.00
_cell_angle_beta 90.00
_cell_angle_gamma 90.00
_space_group_name_H-M_alt 'F -4 3 m'
_space_group_IT_number 216
_space_group_name_Hall 'F -4 2 3'
loop_
_atom_site_label
_atom_site_type_symbol
_atom_site_fract_x
_atom_site_fract_y
_atom_site_fract_z
Sb1 Sb 0.000 0.000 0.000
Ir1 Ir 0.000 0.000 0.500
W1 W 0.250 0.250 0.250
```

Output
**Theoretical density**: 13.64 Mg/m³

=====

If we sort the structures by their calculated energies, the order from most to least stable is A, B.

=====

A.
Entry from Alexandria via LeMat-Bulk: a geometry-optimized SbIr3W structure (PBE-GGA).

Cell and atoms, written as CIF:
```
data_SbIr3W
_chemical_formula_sum 'Sb1 Ir3 W1'
_cell_length_a 4.741
_cell_length_b 4.741
_cell_length_c 4.741
_cell_angle_alpha 90.00
_cell_angle_beta 90.00
_cell_angle_gamma 90.00
_space_group_name_H-M_alt 'P m -3 m'
_space_group_IT_number 221
_space_group_name_Hall '-P 4 2 3'
loop_
_atom_site_label
_atom_site_type_symbol
_atom_site_fract_x
_atom_site_fract_y
_atom_site_fract_z
Sb1 Sb 0.000 0.000 0.000
Ir1 Ir 0.000 0.000 0.500
W1 W 0.500 0.500 0.500
```

Output
**Theoretical density**: 13.74 Mg/m³

=====

B.
Entry from Alexandria via LeMat-Bulk: a geometry-optimized SbIr3W structure (PBE-GGA).

Cell and atoms, written as CIF:
```
data_SbIr3W
_chemical_formula_sum 'Sb1 Ir3 W1'
_cell_length_a 4.785
_cell_length_b 4.785
_cell_length_c 4.785
_cell_angle_alpha 90.00
_cell_angle_beta 90.00
_cell_angle_gamma 90.00
_space_group_name_H-M_alt 'P m -3 m'
_space_group_IT_number 221
_space_group_name_Hall '-P 4 2 3'
loop_
_atom_site_label
_atom_site_type_symbol
_atom_site_fract_x
_atom_site_fract_y
_atom_site_fract_z
Sb1 Sb 0.000 0.000 0.000
Ir1 Ir 0.000 0.500 0.500
W1 W 0.500 0.500 0.500
```

Output
**Theoretical density**: 13.37 Mg/m³

=====

If we sort the structures by their calculated energies, the order from most to least stable is B, A.